A relaxed structure of Pu4Ga12Pd. Source: Alexandria, functional PBE-GGA.

## Properties
Space-group type: No. 229
Formation energy, meV/atom: -447

a = 7.4995 Å, b = 7.4995 Å, c = 7.4995 Å
α = 109.47°, β = 109.47°, γ = 109.47°
Last column: magnetic moment on the atom in μB.
Fractional positions:
1 Pu 0.0000 0.0000 0.5000  5.11
2 Pu 0.5000 0.0000 0.0000  5.11
3 Pu 0.5000 0.5000 0.5000  5.11
4 Pu 0.0000 0.5000 0.0000  5.11
5 Ga 0.0000 0.2949 0.2949  -0.01
6 Ga 0.0000 0.7051 0.7051  -0.01
7 Ga 0.7051 0.7051 0.0000  -0.01
8 Ga 0.2949 0.2949 0.0000  -0.01
9 Ga 0.2949 0.0000 0.2949  -0.01
10 Ga 0.7051 0.0000 0.7051  -0.01
11 Ga 0.5000 0.2500 0.7500  -0.01
12 Ga 0.5000 0.7500 0.2500  -0.01
13 Ga 0.7500 0.2500 0.5000  -0.01
14 Ga 0.2500 0.7500 0.5000  -0.01
15 Ga 0.7500 0.5000 0.2500  -0.01
16 Ga 0.2500 0.5000 0.7500  -0.01
17 Pd 0.0000 0.0000 0.0000  -0.01


A relaxed structure of Pu3Ga3Pd2. Source: Alexandria, functional PBE-GGA.

## Properties
Space-group type: No. 62
Formation energy, meV/atom: -446

a = 5.5816 Å, b = 8.2517 Å, c = 14.8467 Å
α = 90.00°, β = 90.00°, γ = 90.00°
Last column: magnetic moment on the atom in μB.
Fractional positions:
1 Pu 0.1124 0.4618 0.3911  5.32
2 Pu 0.6124 0.0382 0.6089  5.32
3 Pu 0.8876 0.5382 0.8911  5.32
4 Pu 0.3876 0.9618 0.1089  5.32
5 Pu 0.8876 0.5382 0.6089  5.32
6 Pu 0.3876 0.9618 0.3911  5.32
7 Pu 0.1124 0.4618 0.1089  5.32
8 Pu 0.6124 0.0382 0.8911  5.32
9 Pu 0.6137 0.3277 0.2500  5.31
10 Pu 0.1137 0.1723 0.7500  5.31
11 Pu 0.3863 0.6723 0.7500  5.31
12 Pu 0.8863 0.8277 0.2500  5.31
13 Ga 0.1229 0.1772 0.2500  -0.01
14 Ga 0.6229 0.3228 0.7500  -0.01
15 Ga 0.8771 0.8228 0.7500  -0.01
16 Ga 0.3771 0.6772 0.2500  -0.01
17 Ga 0.5983 0.3131 0.4631  0.02
18 Ga 0.0983 0.1869 0.5369  0.02
19 Ga 0.4017 0.6869 0.9631  0.02
20 Ga 0.9017 0.8131 0.0369  0.02
21 Ga 0.4017 0.6869 0.5369  0.02
22 Ga 0.9017 0.8131 0.4631  0.02
23 Ga 0.5983 0.3131 0.0369  0.02
24 Ga 0.0983 0.1869 0.9631  0.02
25 Pd 0.8743 0.1019 0.3919  -0.02
26 Pd 0.3743 0.3981 0.6081  -0.02
27 Pd 0.1257 0.8981 0.8919  -0.02
28 Pd 0.6257 0.6019 0.1081  -0.02
29 Pd 0.1257 0.8981 0.6081  -0.02
30 Pd 0.6257 0.6019 0.3919  -0.02
31 Pd 0.8743 0.1019 0.1081  -0.02
32 Pd 0.3743 0.3981 0.8919  -0.02


A relaxed structure of PuGa4Pd6. Source: Alexandria, functional PBE-GGA.

## Properties
Space-group type: No. 187
Formation energy, meV/atom: -657

a = 3.8940 Å, b = 7.4051 Å, c = 7.4051 Å
α = 120.00°, β = 90.00°, γ = 90.00°
Last column: magnetic moment on the atom in μB.
Fractional positions:
1 Pu 0.0000 0.0000 0.0000  5.31
2 Ga 0.5000 0.8016 0.6032  0.00
3 Ga 0.5000 0.3968 0.1984  0.00
4 Ga 0.5000 0.8016 0.1984  0.00
5 Ga 0.0000 0.3333 0.6667  0.01
6 Pd 0.0000 0.5335 0.0670  0.02
7 Pd 0.5000 0.6023 0.8012  0.01
8 Pd 0.0000 0.5335 0.4665  0.02
9 Pd 0.0000 0.9330 0.4665  0.02
10 Pd 0.5000 0.1988 0.8012  0.01
11 Pd 0.5000 0.1988 0.3977  0.01


A relaxed structure of PuGaPd4. Source: Alexandria, functional PBE-GGA.

## Properties
Space-group type: No. 74
Formation energy, meV/atom: -474

a = 5.3589 Å, b = 4.6767 Å, c = 9.0133 Å
α = 105.06°, β = 107.26°, γ = 90.06°
Last column: magnetic moment on the atom in μB.
Fractional positions:
1 Pu 0.8164 0.7500 0.0000  5.06
2 Pu 0.1836 0.2500 0.0000  5.06
3 Ga 0.5000 0.0000 0.5000  0.00
4 Ga 0.0000 0.5000 0.5000  0.00
5 Pd 0.5551 0.1545 0.8099  -0.04
6 Pd 0.7454 0.3453 0.1901  -0.04
7 Pd 0.4449 0.8455 0.1901  -0.04
8 Pd 0.2546 0.6547 0.8099  -0.04
9 Pd 0.9840 0.0783 0.6574  -0.02
10 Pd 0.3269 0.4219 0.3427  -0.02
11 Pd 0.0160 0.9217 0.3426  -0.02
12 Pd 0.6731 0.5781 0.6573  -0.02


A relaxed structure of PuGa3Pd2. Source: Alexandria, functional PBE-GGA.

## Properties
Space-group type: No. 71
Formation energy, meV/atom: -515

a = 4.3386 Å, b = 7.6459 Å, c = 8.0529 Å
α = 118.34°, β = 105.63°, γ = 90.00°
Last column: magnetic moment on the atom in μB.
Fractional positions:
1 Pu 0.1291 0.1290 0.2582  5.20
2 Pu 0.8709 0.8710 0.7418  5.20
3 Ga 0.6772 0.4726 0.3545  -0.01
4 Ga 0.0000 0.3401 0.0000  -0.01
5 Ga 0.3229 0.1186 0.6459  -0.01
6 Ga 0.6771 0.8814 0.3541  -0.01
7 Ga 0.0000 0.6599 0.0000  -0.01
8 Ga 0.3228 0.5274 0.6455  -0.01
9 Pd 0.5001 0.1784 0.0001  -0.02
10 Pd 0.4999 0.8216 0.9999  -0.02
11 Pd 0.1894 0.6893 0.3788  0.01
12 Pd 0.8106 0.3107 0.6212  0.01


A relaxed structure of Pu5GaPd3. Source: Alexandria, functional PBE-GGA.

## Properties
Space-group type: No. 12
Formation energy, meV/atom: -44

a = 7.0558 Å, b = 7.0558 Å, c = 9.3212 Å
α = 79.76°, β = 79.76°, γ = 71.94°
Last column: magnetic moment on the atom in μB.
Fractional positions:
1 Pu 0.9024 0.3989 0.3308  -4.92
2 Pu 0.3186 0.6814 0.0000  5.45
3 Pu 0.7407 0.7407 0.0759  5.30
4 Pu 0.5112 0.5112 0.3602  3.88
5 Pu 0.4888 0.4888 0.6398  3.88
6 Pu 0.2593 0.2593 0.9241  5.30
7 Pu 0.3989 0.9024 0.3308  -4.92
8 Pu 0.6814 0.3186 0.0000  5.45
9 Pu 0.0976 0.6011 0.6692  -4.92
10 Pu 0.6011 0.0976 0.6692  -4.92
11 Ga 0.0756 0.0756 0.7298  0.01
12 Ga 0.9244 0.9244 0.2702  0.01
13 Pd 0.6850 0.6850 0.7914  0.03
14 Pd 0.7534 0.7534 0.4883  0.05
15 Pd 0.0000 0.0000 0.0000  -0.03
16 Pd 0.0000 0.0000 0.5000  0.05
17 Pd 0.3150 0.3150 0.2086  0.03
18 Pd 0.2466 0.2466 0.5117  0.05


Q: Which of these has the lowest formation energy?
A: PuGa4Pd6


Q: formation energy of number 6 (Pu5GaPd3)?
A: -44 meV/atom